(1)
# PBE-GGA Tb4Nd2Sm5, relaxed
data_Tb4Nd2Sm5
_chemical_formula_sum 'Tb8 Nd4 Sm10'
_space_group_name_H-M_alt 'C 1 2/m 1'
_space_group_IT_number 12
_space_group_name_Hall '-C 2y'
_cell_length_a 24.164
_cell_length_b 3.486
_cell_length_c 8.853
_cell_angle_alpha 90.00
_cell_angle_beta 96.73
_cell_angle_gamma 90.00
loop_
_atom_site_label
_atom_site_type_symbol
_atom_site_fract_x
_atom_site_fract_y
_atom_site_fract_z
Tb1 Tb 0.046 0.000 0.362
Tb2 Tb 0.177 0.500 0.472
Nd1 Nd 0.092 0.000 0.736
Sm1 Sm 0.000 0.500 0.000
Sm2 Sm 0.141 0.000 0.121
Sm3 Sm 0.232 0.000 0.823
# energy above the lowest structure with this stoichiometry: 0 meV/atom
# total magnetization: 0.00 μB per formula unit

***

(2)
# PBE-GGA Tb3Nd4Sm8, relaxed
data_Tb3Nd4Sm8
_chemical_formula_sum 'Tb9 Nd12 Sm24'
_space_group_name_H-M_alt 'R -3 m'
_space_group_IT_number 166
_space_group_name_Hall '-R 3 2"'
_cell_length_a 7.0498
_cell_length_b 7.0498
_cell_length_c 36.0528
_cell_angle_alpha 90.00
_cell_angle_beta 90.00
_cell_angle_gamma 120.00
loop_
_atom_site_label
_atom_site_type_symbol
_atom_site_fract_x
_atom_site_fract_y
_atom_site_fract_z
Tb1 Tb 0.0000 0.5000 0.0000
Nd1 Nd 0.0000 0.0000 0.0000
Nd2 Nd 0.0000 0.0000 0.1636
Nd3 Nd 0.0000 0.0000 0.5000
Sm1 Sm 0.0000 0.0000 0.2545
Sm2 Sm 0.0018 0.5009 0.2512
# energy above the lowest structure with this stoichiometry: 0 meV/atom
# total magnetization: 0.00 μB per formula unit

***

What formation energy values result from the calculations? In sequence: 0.1412 0.1198 eV per atom.